Entry from the Alexandria database: Mo2IrW after structural relaxation (PBEsol).

Cell: 5.551 7.894 2.752 Å, 90.00 90.00 90.00°
Space group Cmmm (No. 65)
Symmetry-distinct sites (fractional):
Mo (0.250, 0.250, 0.000) [4 per cell]
Ir (0.000, 0.000, 0.500) [2 per cell]
W (0.000, 0.500, 0.500) [2 per cell]

Values from the calculation:
E_tot   -93.92 eV for the cell shown
Crystal system   orthorhombic
DFT formation energy   20 kJ/mol of formula units



Entry from the Alexandria database: Mo2IrW after structural relaxation (PBEsol).

Cell: 5.370 8.832 2.695 Å, 90.00 108.96 90.00°
Space group C2/m (No. 12)
Symmetry-distinct sites (fractional):
Mo (0.250, 0.250, 0.000) [4 per cell]
Ir (0.000, 0.000, 0.500) [2 per cell]
W (0.000, 0.500, 0.500) [2 per cell]

Values from the calculation:
E_tot   -93.69 eV for the cell shown
Crystal system   monoclinic
DFT formation energy   31 kJ/mol of formula units



Entry from the Alexandria database: YMo2Ir after structural relaxation (PBEsol).

Cell: 5.400 9.288 2.818 Å, 90.00 108.55 90.00°
Space group C2/m (No. 12)
Symmetry-distinct sites (fractional):
Y (0.000, 0.000, 0.000) [2 per cell]
Mo (0.250, 0.250, 0.500) [4 per cell]
Ir (0.000, 0.500, 0.000) [2 per cell]

Values from the calculation:
E_tot   -78.87 eV for the cell shown
Crystal system   monoclinic
DFT formation energy   72 kJ/mol of formula units



Entry from the Alexandria database: YMoIr2 after structural relaxation (PBEsol).

Cell: 4.922 2.826 4.983 Å, 90.00 109.58 90.00°
Space group P2/m (No. 10)
Symmetry-distinct sites (fractional):
Y (0.000, 0.000, 0.000) [1 per cell]
Mo (0.000, 0.500, 0.500) [1 per cell]
Ir (0.500, 0.000, 0.500) [1 per cell]
Ir (0.500, 0.500, 0.000) [1 per cell]

Values from the calculation:
E_tot   -37.90 eV for the cell shown
Crystal system   monoclinic
DFT formation energy   33 kJ/mol of formula units



| no. | energy above the most stable polymorph in this dataset (eV per formula unit) |
| --- | --- |
| 1 | 0.00 |
| 2 | 0.12 |
| 3 | 0.31 |
| 4 | 0.92 |